# 1
First-principles (SCAN) data for a crystal of Mg2MnRu relaxed with PBEsol, as listed in Alexandria via LeMat-Bulk.

Output
The value obtained for the polymorph energy (0 for the lowest one) is 0.12 eV per formula unit. For the energy of formation from the pure elements, the calculation gives -0.046 eV per atom. Its symmetry is Pmmm.

Cell lengths 3.5088, 4.1618, 4.2223 Å; angles 90.00, 90.00, 90.00 degrees
Last column: nearest neighbours and their distance in Å.
Element x y z (fractional)
Mg 0.0000 0.0000 0.0000  4 Mg 2.72, 4 Ru 2.74, 4 Mn 2.96
Mg 0.5000 0.5000 0.0000  4 Mg 2.72, 4 Mn 2.74, 4 Ru 2.96
Mn 0.0000 0.5000 0.5000  4 Ru 2.72, 8 Mg 2.74-2.96
Ru 0.5000 0.0000 0.5000  4 Mn 2.72, 8 Mg 2.74-2.96


# 2
First-principles (SCAN) data for a crystal of Mg2MnRu relaxed with PBEsol, as listed in Alexandria via LeMat-Bulk.

Output
The value obtained for the polymorph energy (0 for the lowest one) is 0.00 eV per formula unit. For the energy of formation from the pure elements, the calculation gives -0.077 eV per atom. Its symmetry is I4/mmm.

Cell lengths 4.8668, 4.8668, 4.8668 Å; angles 132.17, 132.17, 69.95 degrees
Last column: nearest neighbours and their distance in Å.
Element x y z (fractional)
Mg 0.2500 0.7500 0.5000  4 Mg 2.79, 4 Ru 2.80, 4 Mn 2.80
Mg 0.7500 0.2500 0.5000  4 Mg 2.79, 4 Ru 2.80, 4 Mn 2.80
Mn 0.0000 0.0000 0.0000  4 Ru 2.79, 8 Mg 2.80
Ru 0.5000 0.5000 0.0000  4 Mn 2.79, 8 Mg 2.80


# 3
First-principles (SCAN) data for a crystal of Mg2MnRu relaxed with PBEsol, as listed in Alexandria via LeMat-Bulk.

Output
The value obtained for the polymorph energy (0 for the lowest one) is 0.42 eV per formula unit. For the energy of formation from the pure elements, the calculation gives 0.028 eV per atom. Its symmetry is Pm.

Cell lengths 2.8026, 4.1197, 5.5646 Å; angles 90.00, 103.52, 90.00 degrees
Last column: nearest neighbours and their distance in Å.
Element x y z (fractional)
Mg 0.0000 0.0000 0.0000  2 Ru 2.67-2.93, 2 Mn 2.74, 4 Mg 2.80-2.87
Mg 0.4187 0.5000 0.7120  1 Mn 2.60, 2 Ru 2.72, 4 Mg 2.80-2.87
Mn 0.5269 0.5000 0.2609  2 Ru 2.45, 3 Mg 2.60-2.74
Ru 0.8894 0.0000 0.4631  2 Mn 2.45, 3 Mg 2.67-2.72


# 4
First-principles (SCAN) data for a crystal of Mg2MnRu relaxed with PBEsol, as listed in Alexandria via LeMat-Bulk.

Output
The value obtained for the polymorph energy (0 for the lowest one) is 0.18 eV per formula unit. For the energy of formation from the pure elements, the calculation gives -0.031 eV per atom. Its symmetry is Fm-3m.

Cell lengths 4.4316, 4.4316, 4.4316 Å; angles 60.00, 60.00, 60.00 degrees
Last column: nearest neighbours and their distance in Å.
Element x y z (fractional)
Mg 0.2500 0.2500 0.2500  4 Mn 2.71, 4 Ru 2.71
Mg 0.7500 0.7500 0.7500  4 Mn 2.71, 4 Ru 2.71
Mn 0.0000 0.0000 0.0000  8 Mg 2.71
Ru 0.5000 0.5000 0.5000  8 Mg 2.71


# 5
First-principles (SCAN) data for a crystal of Mg2MnRu relaxed with PBEsol, as listed in Alexandria via LeMat-Bulk.

Output
The value obtained for the polymorph energy (0 for the lowest one) is 0.09 eV per formula unit. For the energy of formation from the pure elements, the calculation gives -0.054 eV per atom. Its symmetry is F-43m.

Cell lengths 4.4362, 4.4362, 4.4362 Å; angles 60.00, 60.00, 60.00 degrees
Last column: nearest neighbours and their distance in Å.
Element x y z (fractional)
Mg 0.0000 0.0000 0.0000  4 Mn 2.72, 4 Mg 2.72
Mg 0.2500 0.2500 0.2500  4 Mg 2.72, 4 Ru 2.72
Mn 0.7500 0.7500 0.7500  4 Ru 2.72, 4 Mg 2.72
Ru 0.5000 0.5000 0.5000  4 Mn 2.72, 4 Mg 2.72


# 6
First-principles (SCAN) data for a crystal of MgMn2Ru relaxed with PBEsol, as listed in Alexandria via LeMat-Bulk.

Output
For the energy of formation from the pure elements, the calculation gives 0.160 eV per atom. Its symmetry is R-3m.

Cell lengths 8.8187, 8.8187, 8.8187 Å; angles 17.43, 17.43, 17.43 degrees
Last column: nearest neighbours and their distance in Å.
Element x y z (fractional)
Mg 0.0000 0.0000 0.0000  6 Mg 2.67, 6 Mn 2.78
Mn 0.2447 0.2447 0.2447  3 Ru 2.55, 6 Mn 2.67, 3 Mg 2.78
Mn 0.7553 0.7553 0.7553  3 Ru 2.55, 6 Mn 2.67, 3 Mg 2.78
Ru 0.5000 0.5000 0.5000  6 Mn 2.55, 6 Ru 2.67


# 7
First-principles (SCAN) data for a crystal of MgZrMn2Ru relaxed with PBEsol, as listed in Alexandria via LeMat-Bulk.

Output
For the energy of formation from the pure elements, the calculation gives 1.019 eV per atom. Its symmetry is P4/mmm.

Cell lengths 4.6759, 4.6759, 4.6961 Å; angles 90.00, 90.00, 90.00 degrees
Last column: nearest neighbours and their distance in Å.
Element x y z (fractional)
Mg 0.0000 0.0000 0.0000  4 Ru 3.31, 8 Mn 3.31
Zr 0.5000 0.5000 0.5000  4 Mn 2.34, 2 Ru 2.35
Mn 0.0000 0.5000 0.5000  2 Zr 2.34
Mn 0.5000 0.0000 0.5000  2 Zr 2.34
Ru 0.5000 0.5000 0.0000  2 Zr 2.35


# 8
First-principles (SCAN) data for a crystal of Mg3MnS relaxed with PBEsol, as listed in Alexandria via LeMat-Bulk.

Output
As for the formation energy (no corrections): 0.60 eV/atom. Its symmetry is Pm-3m.

Cell lengths 5.0067, 5.0067, 5.0067 Å; angles 90.00, 90.00, 90.00 degrees
Last column: nearest neighbours and their distance in Å.
Element x y z (fractional)
Mg 0.0000 0.0000 0.5000  2 Mn 2.50
Mg 0.0000 0.5000 0.0000  2 Mn 2.50
Mg 0.5000 0.0000 0.0000  2 Mn 2.50
Mn 0.0000 0.0000 0.0000  6 Mg 2.50
S 0.5000 0.5000 0.5000  12 Mg 3.54


# 9
First-principles (SCAN) data for a crystal of MgMn2S relaxed with PBEsol, as listed in Alexandria via LeMat-Bulk.

Output
As for the formation energy (no corrections): 0.57 eV/atom. Its symmetry is Fm-3m.

Cell lengths 4.0278, 4.0278, 4.0278 Å; angles 60.00, 60.00, 60.00 degrees
Last column: nearest neighbours and their distance in Å.
Element x y z (fractional)
Mg 0.0000 0.0000 0.0000  8 Mn 2.47
Mn 0.2500 0.2500 0.2500  4 S 2.47, 4 Mg 2.47
Mn 0.7500 0.7500 0.7500  4 S 2.47, 4 Mg 2.47
S 0.5000 0.5000 0.5000  8 Mn 2.47


# 10
First-principles (SCAN) data for a crystal of MgScMnS4 relaxed with PBEsol, as listed in Alexandria via LeMat-Bulk.

Output
As for the formation energy (no corrections): -1.56 eV/atom. Its symmetry is Imma.

Cell lengths 7.2787, 7.2787, 7.2787 Å; angles 118.86, 118.25, 92.53 degrees
Last column: nearest neighbours and their distance in Å.
Element x y z (fractional)
Mg 0.3765 0.1265 0.2500  4 S 2.42-2.44
Mg 0.6235 0.8735 0.7500  4 S 2.42-2.44
Sc 0.0000 0.5000 0.5000  6 S 2.54-2.55
Sc 0.5000 0.5000 0.0000  6 S 2.54-2.55
Mn 0.0000 0.0000 0.5000  6 S 2.38-2.47
Mn 0.0000 0.5000 0.0000  6 S 2.38-2.47
S 0.2172 0.2487 0.9685  1 Mg 2.44, 2 Mn 2.47, 1 Sc 2.54
S 0.2199 0.7513 0.4685  1 Mg 2.44, 2 Mn 2.47, 1 Sc 2.54
S 0.2359 0.2516 0.5157  1 Mn 2.38, 1 Mg 2.42, 2 Sc 2.55
S 0.2359 0.7202 0.9843  1 Mn 2.38, 1 Mg 2.42, 2 Sc 2.55
S 0.7641 0.2798 0.0157  1 Mn 2.38, 1 Mg 2.42, 2 Sc 2.55
S 0.7641 0.7484 0.4843  1 Mn 2.38, 1 Mg 2.42, 2 Sc 2.55
S 0.7801 0.2487 0.5315  1 Mg 2.44, 2 Mn 2.47, 1 Sc 2.54
S 0.7828 0.7513 0.0315  1 Mg 2.44, 2 Mn 2.47, 1 Sc 2.54


# 11
First-principles (SCAN) data for a crystal of MgTa2MnS relaxed with PBEsol, as listed in Alexandria via LeMat-Bulk.

Output
As for the formation energy (no corrections): 0.77 eV/atom. Its symmetry is P4/mmm.

Cell lengths 4.7158, 4.7158, 4.0542 Å; angles 90.00, 90.00, 90.00 degrees
Last column: nearest neighbours and their distance in Å.
Element x y z (fractional)
Mg 0.0000 0.0000 0.0000  8 Ta 3.11, 4 S 3.33
Ta 0.0000 0.5000 0.5000  2 Mn 2.36
Ta 0.5000 0.0000 0.5000  2 Mn 2.36
Mn 0.5000 0.5000 0.5000  2 S 2.03
S 0.5000 0.5000 0.0000  2 Mn 2.03


# 12
First-principles (SCAN) data for a crystal of Mg2Ti3MnS8 relaxed with PBEsol, as listed in Alexandria via LeMat-Bulk.

Output
As for the formation energy (no corrections): -1.47 eV/atom. Its symmetry is R-3m.

Cell lengths 7.3323, 7.3323, 7.3323 Å; angles 58.20, 58.20, 58.20 degrees
Last column: nearest neighbours and their distance in Å.
Element x y z (fractional)
Mg 0.1257 0.1257 0.1257  4 S 2.39-2.42
Mg 0.8743 0.8743 0.8743  4 S 2.39-2.42
Ti 0.0000 0.5000 0.5000  6 S 2.44-2.47
Ti 0.5000 0.0000 0.5000  6 S 2.44-2.47
Ti 0.5000 0.5000 0.0000  6 S 2.44-2.47
Mn 0.5000 0.5000 0.5000  6 S 2.47
S 0.2586 0.2586 0.2586  1 Mg 2.42, 3 Ti 2.47
S 0.2597 0.2597 0.7172  1 Mg 2.39, 2 Ti 2.44, 1 Mn 2.47
S 0.2597 0.7172 0.2597  1 Mg 2.39, 2 Ti 2.44, 1 Mn 2.47
S 0.2828 0.7403 0.7403  1 Mg 2.39, 2 Ti 2.44, 1 Mn 2.47
S 0.7172 0.2597 0.2597  1 Mg 2.39, 2 Ti 2.44, 1 Mn 2.47
S 0.7403 0.2828 0.7403  1 Mg 2.39, 2 Ti 2.44, 1 Mn 2.47
S 0.7403 0.7403 0.2828  1 Mg 2.39, 2 Ti 2.44, 1 Mn 2.47
S 0.7414 0.7414 0.7414  1 Mg 2.42, 3 Ti 2.47


# 13
First-principles (SCAN) data for a crystal of Mg2TiMn3S8 relaxed with PBEsol, as listed in Alexandria via LeMat-Bulk.

Output
As for the formation energy (no corrections): -1.23 eV/atom. Its symmetry is R-3m.

Cell lengths 7.2046, 7.2046, 7.2046 Å; angles 59.98, 59.98, 59.98 degrees
Last column: nearest neighbours and their distance in Å.
Element x y z (fractional)
Mg 0.1274 0.1274 0.1274  4 S 2.41-2.42
Mg 0.8726 0.8726 0.8726  4 S 2.41-2.42
Ti 0.5000 0.5000 0.5000  6 S 2.44
Mn 0.0000 0.5000 0.5000  6 S 2.41-2.44
Mn 0.5000 0.0000 0.5000  6 S 2.41-2.44
Mn 0.5000 0.5000 0.0000  6 S 2.41-2.44
S 0.2613 0.2613 0.7160  1 Mg 2.42, 1 Ti 2.44, 2 Mn 2.44
S 0.2613 0.7160 0.2613  1 Mg 2.42, 1 Ti 2.44, 2 Mn 2.44
S 0.2638 0.2638 0.2638  1 Mg 2.41, 3 Mn 2.41
S 0.2840 0.7387 0.7387  1 Mg 2.42, 1 Ti 2.44, 2 Mn 2.44
S 0.7160 0.2613 0.2613  1 Mg 2.42, 1 Ti 2.44, 2 Mn 2.44
S 0.7362 0.7362 0.7362  1 Mg 2.41, 3 Mn 2.41
S 0.7387 0.2840 0.7387  1 Mg 2.42, 1 Ti 2.44, 2 Mn 2.44
S 0.7387 0.7387 0.2840  1 Mg 2.42, 1 Ti 2.44, 2 Mn 2.44


# 14
First-principles (SCAN) data for a crystal of Mg2Mn3VS8 relaxed with PBEsol, as listed in Alexandria via LeMat-Bulk.

Output
As for the formation energy (no corrections): -1.12 eV/atom. Its symmetry is R-3m.

Cell lengths 7.1335, 7.1335, 7.1335 Å; angles 59.08, 59.08, 59.08 degrees
Last column: nearest neighbours and their distance in Å.
Element x y z (fractional)
Mg 0.1267 0.1267 0.1267  4 S 2.40-2.41
Mg 0.8733 0.8733 0.8733  4 S 2.40-2.41
Mn 0.0000 0.5000 0.5000  6 S 2.37
Mn 0.5000 0.0000 0.5000  6 S 2.37
Mn 0.5000 0.5000 0.0000  6 S 2.37
V 0.5000 0.5000 0.5000  6 S 2.40
S 0.2613 0.2613 0.7098  2 Mn 2.37, 1 Mg 2.40, 1 V 2.40
S 0.2613 0.7098 0.2613  2 Mn 2.37, 1 Mg 2.40, 1 V 2.40
S 0.2638 0.2638 0.2638  3 Mn 2.37, 1 Mg 2.41
S 0.2902 0.7387 0.7387  2 Mn 2.37, 1 Mg 2.40, 1 V 2.40
S 0.7098 0.2613 0.2613  2 Mn 2.37, 1 Mg 2.40, 1 V 2.40
S 0.7362 0.7362 0.7362  3 Mn 2.37, 1 Mg 2.41
S 0.7387 0.2902 0.7387  2 Mn 2.37, 1 Mg 2.40, 1 V 2.40
S 0.7387 0.7387 0.2902  2 Mn 2.37, 1 Mg 2.40, 1 V 2.40